Entry 1:
This record from the Open Quantum Materials Database describes an optimized crystal structure of TaGaOs. The functional is GGA-PBE.

Geometry as extended XYZ:
```
3
Lattice="0.000 3.029 3.029 3.029 0.000 3.029 3.029 3.029 0.000" Properties=species:S:1:pos:R:3 pbc="T T T"
Ga 1.514 1.514 1.514
Os 0.000 0.000 0.000
Ta 4.543 4.543 4.543
```

Crystal system: cubic
Total magnetization, μB per formula unit: 0.16
Total energy, eV/atom: -8.678

***

Entry 2:
This record from the Open Quantum Materials Database describes an optimized crystal structure of TaGaOs2. The functional is GGA-PBE.

Geometry as extended XYZ:
```
4
Lattice="-2.937 0.973 0.638 -0.586 -2.734 1.470 1.940 2.410 5.255" Properties=species:S:1:pos:R:3 pbc="T T T"
Ga 0.000 0.000 0.000
Os -1.285 -0.289 2.344
Os -0.297 0.938 5.020
Ta 0.970 1.205 2.628
```

Crystal system: tetragonal
Total magnetization, μB per formula unit: 0.00
Total energy, eV/atom: -9.608

***

Entry 3:
This record from the Open Quantum Materials Database describes an optimized crystal structure of TaGaOs2. The functional is GGA-PBE.

Geometry as extended XYZ:
```
8
Lattice="2.119 -3.670 0.000 2.119 3.670 0.000 0.000 0.000 8.367" Properties=species:S:1:pos:R:3 pbc="T T T"
Ga 0.000 0.000 0.000
Ga 0.000 0.000 4.184
Os 2.119 -1.223 0.841
Os 2.119 -1.223 3.343
Os 2.119 1.223 5.025
Os 2.119 1.223 7.527
Ta 2.119 1.223 2.092
Ta 2.119 -1.223 6.276
```

Crystal system: hexagonal
Total magnetization, μB per formula unit: 0.00
Total energy, eV/atom: -9.410

***

Entry 4:
This record from the Open Quantum Materials Database describes an optimized crystal structure of TaGaOs. The functional is GGA-PBE.

Geometry as extended XYZ:
```
3
Lattice="2.778 -2.808 1.724 -0.468 -4.221 -0.734 2.813 -2.073 -2.523" Properties=species:S:1:pos:R:3 pbc="T T T"
Ga 1.281 -2.276 -0.383
Os 3.843 -6.827 -1.150
Ta 0.000 0.000 0.000
```

Crystal system: cubic
Total magnetization, μB per formula unit: 0.00
Total energy, eV/atom: -8.304

***

Entry 5:
This record from the Open Quantum Materials Database describes an optimized crystal structure of TaGaOs2. The functional is GGA-PBE.

Geometry as extended XYZ:
```
4
Lattice="0.000 3.137 3.137 3.137 0.000 3.137 3.137 3.137 0.000" Properties=species:S:1:pos:R:3 pbc="T T T"
Ga 3.137 3.137 3.137
Os 0.000 0.000 0.000
Os 4.705 4.705 4.705
Ta 1.568 1.568 1.568
```

Crystal system: cubic
Total magnetization, μB per formula unit: 0.01
Total energy, eV/atom: -9.098

***

Entry 6:
This record from the Open Quantum Materials Database describes an optimized crystal structure of TaGaOs2. The functional is GGA-PBE.

Geometry as extended XYZ:
```
16
Lattice="5.534 0.000 0.000 0.000 8.008 0.000 0.000 0.000 5.558" Properties=species:S:1:pos:R:3 pbc="T T T"
Ga 2.342 2.002 0.432
Ga 5.110 6.006 2.347
Ga 0.425 2.002 3.211
Ga 3.192 6.006 5.126
Os 3.784 4.074 1.067
Os 3.784 7.938 1.067
Os 1.017 0.070 1.712
Os 1.017 3.934 1.712
Os 4.518 4.074 3.846
Os 4.518 7.938 3.846
Os 1.751 0.070 4.491
Os 1.751 3.934 4.491
Ta 5.099 2.002 0.191
Ta 2.331 6.006 2.588
Ta 3.203 2.002 2.970
Ta 0.436 6.006 5.367
```

Crystal system: orthorhombic
Total magnetization, μB per formula unit: 0.00
Total energy, eV/atom: -9.397